1 | An optimized crystal structure of MgSiO. Source: the Alexandria database, functional GGA-PBE.

Cell lengths 5.0591, 3.3296, 5.5228 Å; angles 90.00, 111.52, 90.00 degrees
With the nearest neighbours (Å) after each atom.
Fractional coordinates of all 6 atoms:
Si: 0.7617 0.0000 0.0195  1 O 1.75
Si: 0.7376 0.5000 0.6986  1 O 1.77
O: 0.0966 0.5000 0.7226  1 Si 1.77
O: 0.1244 0.0000 0.2095  1 Si 1.75
Mg: 0.2327 0.0000 0.5939  3 O 1.99-2.03
Mg: 0.3499 0.5000 0.1406  3 O 2.13-2.19

Results
- DOS(E_F) (states/eV/f.u.) = 0.212
- theoretical density (Mg/m³) = 2.624
- space-group type = Pm (6)

2 | An optimized crystal structure of MgSiO. Source: the Alexandria database, functional GGA-PBE.

Cell lengths 2.8415, 12.2129, 4.7411 Å; angles 90.00, 90.00, 90.00 degrees
With the nearest neighbours (Å) after each atom.
Fractional coordinates of all 12 atoms:
Si: 0.5000 0.0746 0.7584  1 O 1.76
Si: 0.0000 0.4254 0.2584  1 O 1.76
Si: 0.5000 0.9254 0.2584  1 O 1.76
Si: 0.0000 0.5746 0.7584  1 O 1.76
O: 0.0000 0.6822 0.5120  1 Si 1.76
O: 0.5000 0.8178 0.0120  1 Si 1.76
O: 0.0000 0.3178 0.0120  1 Si 1.76
O: 0.5000 0.1822 0.5120  1 Si 1.76
Mg: 0.0000 0.8344 0.7129  3 O 2.02-2.09
Mg: 0.0000 0.1656 0.2129  3 O 2.02-2.09
Mg: 0.5000 0.3344 0.7129  3 O 2.02-2.09
Mg: 0.5000 0.6656 0.2129  3 O 2.02-2.09

Results
- DOS(E_F) (states/eV/f.u.) = 0.284
- theoretical density (Mg/m³) = 2.761
- space-group type = Cmc2_1 (36)

1 comes first in stability; the runner-up is 136 meV per atom higher.